An optimized crystal structure of Rb3SiTe, computed with GGA-PBEsol.

Uncorrected formation energy (kJ/mol of formula units): 86

The structure in POSCAR format:
```
Rb3SiTe
1.0
6.426 0.000 0.000
0.000 6.426 0.000
0.000 0.000 6.426
Rb Si Te
3 1 1
direct
0.000 0.000 0.500
0.000 0.500 0.000
0.500 0.000 0.000
0.000 0.000 0.000
0.500 0.500 0.500
```

=====

An optimized crystal structure of RbTi3Si, computed with GGA-PBEsol.

Uncorrected formation energy (kJ/mol of formula units): 963

The structure in POSCAR format:
```
RbTi3Si
1.0
4.561 0.000 0.000
0.000 4.561 0.000
0.000 0.000 4.561
Rb Ti Si
1 3 1
direct
0.000 0.000 0.000
0.000 0.000 0.500
0.000 0.500 0.000
0.500 0.000 0.000
0.500 0.500 0.500
```

=====

An optimized crystal structure of Rb2Ti2Si, computed with GGA-PBEsol.

Uncorrected formation energy (kJ/mol of formula units): 434

The structure in POSCAR format:
```
Rb2Ti2Si
1.0
-1.754 1.754 12.231
1.754 -1.754 12.231
1.754 1.754 -12.231
Rb Ti Si
2 2 1
direct
0.104 0.104 0.000
0.896 0.896 0.000
0.250 0.750 0.500
0.750 0.250 0.500
0.500 0.500 0.000
```

=====

An optimized crystal structure of RbTl2Si, computed with GGA-PBEsol.

Uncorrected formation energy (kJ/mol of formula units): 105

The structure in POSCAR format:
```
RbTl2Si
1.0
0.000 3.809 3.809
3.809 0.000 3.809
3.809 3.809 0.000
Rb Tl Si
1 2 1
direct
0.000 0.000 0.000
0.250 0.250 0.250
0.750 0.750 0.750
0.500 0.500 0.500
```

=====

An optimized crystal structure of RbZn2Si2, computed with GGA-PBEsol.

Uncorrected formation energy (kJ/mol of formula units): 83

The structure in POSCAR format:
```
RbZn2Si2
1.0
-2.088 2.088 5.693
2.088 -2.088 5.693
2.088 2.088 -5.693
Rb Zn Si
1 2 2
direct
0.000 0.000 0.000
0.383 0.383 0.000
0.617 0.617 0.000
0.250 0.750 0.500
0.750 0.250 0.500
```

=====

An optimized crystal structure of Rb3Sm, computed with GGA-PBEsol.

Formation energy from the elements (eV/atom): 0.636

The structure in POSCAR format:
```
Rb3Sm
1.0
6.223 0.000 0.000
0.000 6.223 0.000
0.000 0.000 6.223
Rb Sm
3 1
direct
0.000 0.000 0.500
0.000 0.500 0.000
0.500 0.000 0.000
0.500 0.500 0.500
```

=====

An optimized crystal structure of RbSmTe2, computed with GGA-PBEsol.

Uncorrected formation energy (kJ/mol of formula units): -530

The structure in POSCAR format:
```
RbSmTe2
1.0
2.257 1.303 8.422
-2.257 1.303 8.422
0.000 -2.607 8.422
Rb Sm Te
1 1 2
direct
0.000 0.000 0.000
0.500 0.500 0.500
0.235 0.235 0.235
0.765 0.765 0.765
```

=====

An optimized crystal structure of Rb2SnTe5, computed with GGA-PBEsol.

Uncorrected formation energy (kJ/mol of formula units): -395

The structure in POSCAR format:
```
Rb2SnTe5
1.0
-4.298 4.298 7.667
4.298 -4.298 7.667
4.298 4.298 -7.667
Rb Sn Te
4 2 10
direct
0.000 0.000 0.000
0.250 0.250 0.000
0.500 0.500 0.000
0.750 0.750 0.000
0.250 0.750 0.500
0.750 0.250 0.500
0.000 0.500 0.500
0.043 0.543 0.859
0.184 0.043 0.500
0.316 0.816 0.859
0.457 0.316 0.500
0.500 0.000 0.500
0.543 0.684 0.500
0.684 0.184 0.141
0.816 0.957 0.500
0.957 0.457 0.141
```

=====

An optimized crystal structure of RbSn2Te2, computed with GGA-PBEsol.

Uncorrected formation energy (kJ/mol of formula units): -194

The structure in POSCAR format:
```
RbSn2Te2
1.0
-2.916 2.916 5.228
2.916 -2.916 5.228
2.916 2.916 -5.228
Rb Sn Te
1 2 2
direct
0.000 0.000 0.000
0.350 0.350 0.000
0.650 0.650 0.000
0.250 0.750 0.500
0.750 0.250 0.500
```

=====

An optimized crystal structure of RbZrSnTe2, computed with GGA-PBEsol.

Uncorrected formation energy (kJ/mol of formula units): -221

The structure in POSCAR format:
```
RbZrSnTe2
1.0
5.629 0.000 0.000
0.000 5.629 0.000
0.000 0.000 5.558
Rb Zr Sn Te
1 1 1 2
direct
0.000 0.000 0.000
0.500 0.500 0.500
0.500 0.500 0.000
0.000 0.500 0.500
0.500 0.000 0.500
```

=====

An optimized crystal structure of RbTl2Sn2, computed with GGA-PBEsol.

Formation energy from the elements (eV/atom): -0.095
Energy above the lowest structure with this stoichiometry (meV per atom): 0

The structure in POSCAR format:
```
RbTl2Sn2
1.0
-2.243 2.243 8.203
2.243 -2.243 8.203
2.243 2.243 -8.203
Rb Tl Sn
1 2 2
direct
0.000 0.000 0.000
0.386 0.386 0.000
0.614 0.614 0.000
0.250 0.750 0.500
0.750 0.250 0.500
```

=====

An optimized crystal structure of RbTl2Sn2, computed with GGA-PBEsol.

Formation energy from the elements (eV/atom): -0.046
Energy above the lowest structure with this stoichiometry (meV per atom): 49

The structure in POSCAR format:
```
RbTl2Sn2
1.0
9.338 0.000 0.000
0.000 9.338 0.000
0.000 0.000 3.520
Rb Tl Sn
2 4 4
direct
0.000 0.000 0.000
0.500 0.500 0.000
0.144 0.356 0.000
0.356 0.856 0.000
0.644 0.144 0.000
0.856 0.644 0.000
0.145 0.645 0.500
0.355 0.145 0.500
0.645 0.855 0.500
0.855 0.355 0.500
```

=====

> What is the formula in the tenth record?

RbZrSnTe2